1.
# Ac3RuPb, optimized geometry, DFT GGA-PBE
# energy of formation	-0.36	eV/atom
# E above lowest polymorph	0.0	meV/atom
data_Ac3RuPb
_cell_length_a 9.1627
_cell_length_b 4.7100
_cell_length_c 16.2249
_cell_angle_alpha 90.00
_cell_angle_beta 90.00
_cell_angle_gamma 90.00
_symmetry_space_group_name_H-M 'P n m a'
_symmetry_Int_Tables_number 62
_symmetry_space_group_name_Hall '-P 2ac 2n'
loop_
_atom_site_label
_atom_site_type_symbol
_atom_site_fract_x
_atom_site_fract_y
_atom_site_fract_z
Ac1 Ac 0.0292 0.2500 0.1111
Ac2 Ac 0.1643 0.2500 0.5023
Ac3 Ac 0.2001 0.7500 0.2901
Ru1 Ru 0.1557 0.2500 0.9389
Pb1 Pb 0.0832 0.7500 0.6709



2.
# Tb3EuP, optimized geometry, DFT GGA-PBE
# energy of formation	-0.42	eV/atom
data_Tb3EuP
_cell_length_a 5.4721
_cell_length_b 5.4721
_cell_length_c 5.4721
_cell_angle_alpha 90.00
_cell_angle_beta 90.00
_cell_angle_gamma 90.00
_symmetry_space_group_name_H-M 'P m -3 m'
_symmetry_Int_Tables_number 221
_symmetry_space_group_name_Hall '-P 4 2 3'
loop_
_atom_site_label
_atom_site_type_symbol
_atom_site_fract_x
_atom_site_fract_y
_atom_site_fract_z
Tb1 Tb 0.0000 0.0000 0.5000
Eu1 Eu 0.5000 0.5000 0.5000
P1 P 0.0000 0.0000 0.0000



3.
# NbAl2Rh2, optimized geometry, DFT GGA-PBE
# energy of formation	-0.63	eV/atom
# E above lowest polymorph	46.3	meV/atom
data_NbAl2Rh2
_cell_length_a 7.3147
_cell_length_b 7.3147
_cell_length_c 2.8360
_cell_angle_alpha 90.00
_cell_angle_beta 90.00
_cell_angle_gamma 90.00
_symmetry_space_group_name_H-M 'P 4/m b m'
_symmetry_Int_Tables_number 127
_symmetry_space_group_name_Hall '-P 4 2ab'
loop_
_atom_site_label
_atom_site_type_symbol
_atom_site_fract_x
_atom_site_fract_y
_atom_site_fract_z
Nb1 Nb 0.0000 0.0000 0.0000
Al1 Al 0.1559 0.3441 0.5000
Rh1 Rh 0.1399 0.6399 0.0000



Number 1: D(E_F) 0.8073 states/eV/atom. Number 2: D(E_F) 2.5537 states/eV/atom. Number 3: D(E_F) 0.9229 states/eV/atom.